VASP calculation (PBE) on a relaxed CoCuNi2 crystal. Values from VASP.

Values from the calculation:
The energy of formation is 0.5000 eV/atom. The space-group type is I-42d (122). The calculation puts the mass density at 8.1 Mg/m³. The size of the total moment comes out at 0.787 μB/atom. As for the total energy: -0.1908 Ha/atom.

Quantum ESPRESSO input file:
```
&SYSTEM
  ibrav = 0, nat = 8, ntyp = 3
/
ATOMIC_SPECIES
Co 58.93 Co.upf
Cu 63.55 Cu.upf
Ni 58.69 Ni.upf
ATOMIC_POSITIONS angstrom
Co 0.0000 0.0000 0.0000
Co 0.0000 3.1832 1.2193
Cu 3.1832 0.0000 1.2193
Cu 0.0000 0.0000 2.4386
Ni 4.7749 1.5015 -0.6097
Ni 1.5015 1.5916 0.6097
Ni -1.5916 1.6817 1.8290
Ni 1.6817 1.5916 3.0483
CELL_PARAMETERS angstrom
-3.1832 3.1832 2.4386
3.1832 -3.1832 2.4386
3.1832 3.1832 -2.4386
```